# GGA-PBE SrSc2Cl, optimized geometry
# ΔE_f (raw) ... -494.0 meV/atom
# Polymorph energy (0 for the lowest one) ... 83 meV per atom
# M_tot ... 0.00 μB per cell
data_SrSc2Cl
_chemical_formula_sum 'Sr2 Sc4 Cl2'
_symmetry_space_group_name_H-M 'C m m 2'
_symmetry_Int_Tables_number 35
_cell_length_a 4.645
_cell_length_b 5.110
_cell_length_c 9.264
_cell_angle_alpha 90.00
_cell_angle_beta 90.00
_cell_angle_gamma 90.00
loop_
_symmetry_equiv_pos_as_xyz
'x,y,z'
'-x,-y,z'
'-x,y,z'
'x,-y,z'
'x+1/2,y+1/2,z'
'-x+1/2,-y+1/2,z'
'-x+1/2,y+1/2,z'
'x+1/2,-y+1/2,z'
loop_
_atom_site_label
_atom_site_type_symbol
_atom_site_fract_x
_atom_site_fract_y
_atom_site_fract_z
Sr1 Sr 0.000 0.000 0.000
Sc1 Sc 0.000 0.000 0.467
Sc2 Sc 0.000 0.500 0.690
Cl1 Cl 0.000 0.500 0.231